Entry 1:
A plane-wave DFT calculation with PBE-GGA was carried out for an optimized crystal structure of Na2AlGaMo2Os2.

Cell: 4.4172 4.4172 6.2486 Å, 90.00 90.00 90.00°
Space group P-4m2 (No. 115)
Symmetry-distinct sites (fractional):
Na: 0.0000 0.5000 0.2490 (multiplicity 2)
Al: 0.0000 0.0000 0.5000 (multiplicity 1)
Ga: 0.5000 0.5000 0.0000 (multiplicity 1)
Mo: 0.0000 0.0000 0.0000 (multiplicity 1)
Mo: 0.5000 0.5000 0.5000 (multiplicity 1)
Os: 0.0000 0.5000 0.7476 (multiplicity 2)

## Properties
calculated total energy	-6.45	eV per atom


Entry 2:
A plane-wave DFT calculation with PBE-GGA was carried out for an optimized crystal structure of ZrPdPt.

Cell: 6.2753 6.2753 6.2753 Å, 90.00 90.00 90.00°
Space group F-43m (No. 216)
Symmetry-distinct sites (fractional):
Zr: 0.0000 0.0000 0.0000 (multiplicity 4)
Pd: 0.0000 0.0000 0.5000 (multiplicity 4)
Pt: 0.2500 0.2500 0.7500 (multiplicity 4)

## Properties
polymorph energy (0 for the lowest one)	0	meV per atom
ΔE_f	-550	meV per atom


Entry 3:
A plane-wave DFT calculation with PBE-GGA was carried out for an optimized crystal structure of HgBiNO.

Cell: 3.6987 6.1382 6.6570 Å, 90.00 90.00 90.00°
Space group Pmc2_1 (No. 26)
Symmetry-distinct sites (fractional):
Hg: 0.0000 0.1200 0.0000 (multiplicity 2)
Bi: 0.5000 0.3314 0.5123 (multiplicity 2)
N: 0.0000 0.1971 0.6769 (multiplicity 2)
O: 0.5000 0.3460 0.1320 (multiplicity 2)

## Properties
polymorph energy (0 for the lowest one)	72	meV per atom


Entry 4:
A plane-wave DFT calculation with PBE-GGA was carried out for an optimized crystal structure of Er2H2Br3Cl.

Cell: 3.7695 3.7695 14.7953 Å, 90.00 90.00 120.00°
Space group P3m1 (No. 156)
Symmetry-distinct sites (fractional):
Er: 0.0000 0.0000 0.0000 (multiplicity 1)
Er: 0.0000 0.0000 0.4957 (multiplicity 1)
H: 0.3333 0.6667 0.4958 (multiplicity 1)
H: 0.6667 0.3333 0.9969 (multiplicity 1)
Br: 0.3333 0.6667 0.8701 (multiplicity 1)
Br: 0.6667 0.3333 0.3668 (multiplicity 1)
Br: 0.6667 0.3333 0.6245 (multiplicity 1)
Cl: 0.3333 0.6667 0.1160 (multiplicity 1)

## Properties
calculated total energy	-4.41	eV per atom


Entry 5:
A plane-wave DFT calculation with PBE-GGA was carried out for an optimized crystal structure of Ta2BiAu2.

Cell: 3.9576 3.9576 13.5556 Å, 90.00 90.00 90.00°
Space group I4/mmm (No. 139)
Symmetry-distinct sites (fractional):
Ta: 0.0000 0.5000 0.2500 (multiplicity 4)
Bi: 0.0000 0.0000 0.0000 (multiplicity 2)
Au: 0.0000 0.0000 0.3983 (multiplicity 4)

## Properties
polymorph energy (0 for the lowest one)	0	meV per atom


Entry 6:
A plane-wave DFT calculation with PBE-GGA was carried out for an optimized crystal structure of Sm3Cu2Ge4.

Cell: 10.9767 4.2148 8.3085 Å, 90.00 101.72 90.00°
Space group C2/m (No. 12)
Symmetry-distinct sites (fractional):
Sm: 0.0000 0.0000 0.0000 (multiplicity 2)
Sm: 0.1610 0.5000 0.6680 (multiplicity 4)
Cu: 0.1111 0.5000 0.2849 (multiplicity 4)
Ge: 0.0626 0.0000 0.3869 (multiplicity 4)
Ge: 0.2131 0.5000 0.0610 (multiplicity 4)

## Properties
calculated total energy	-5.16	eV per atom


Entry 7:
A plane-wave DFT calculation with PBE-GGA was carried out for an optimized crystal structure of Ta2TlIr.

Cell: 6.6152 6.6152 6.6152 Å, 90.00 90.00 90.00°
Space group F-43m (No. 216)
Symmetry-distinct sites (fractional):
Ta: 0.0000 0.0000 0.0000 (multiplicity 4)
Ta: 0.2500 0.2500 0.2500 (multiplicity 4)
Tl: 0.0000 0.0000 0.5000 (multiplicity 4)
Ir: 0.2500 0.2500 0.7500 (multiplicity 4)

## Properties
calculated total energy	-8.35	eV per atom


Entry 8:
A plane-wave DFT calculation with PBE-GGA was carried out for an optimized crystal structure of BaZnRe.

Cell: 6.7548 6.7548 6.7548 Å, 90.00 90.00 90.00°
Space group F-43m (No. 216)
Symmetry-distinct sites (fractional):
Ba: 0.0000 0.0000 0.0000 (multiplicity 4)
Zn: 0.0000 0.0000 0.5000 (multiplicity 4)
Re: 0.2500 0.2500 0.2500 (multiplicity 4)

## Properties
calculated total energy	-3.87	eV per atom


Entry 9:
A plane-wave DFT calculation with PBE-GGA was carried out for an optimized crystal structure of Na2Ga3Pt2.

Cell: 10.5328 4.0478 7.2648 Å, 90.00 116.81 90.00°
Space group C2/m (No. 12)
Symmetry-distinct sites (fractional):
Na: 0.1536 0.0000 0.2869 (multiplicity 4)
Ga: 0.0000 0.5000 0.5000 (multiplicity 2)
Ga: 0.1399 0.5000 0.9519 (multiplicity 4)
Pt: 0.1236 0.0000 0.7158 (multiplicity 4)

## Properties
calculated total energy	-3.90	eV per atom


Entry 10:
A plane-wave DFT calculation with PBE-GGA was carried out for an optimized crystal structure of AgSbPO.

Cell: 4.6107 4.6107 7.7445 Å, 90.00 90.00 90.00°
Space group P4/nmm (No. 129, origin choice 2)
Symmetry-distinct sites (fractional):
Ag: 0.2500 0.2500 0.0070 (multiplicity 2)
Sb: 0.2500 0.7500 0.5000 (multiplicity 2)
P: 0.2500 0.2500 0.6746 (multiplicity 2)
O: 0.2500 0.7500 0.0000 (multiplicity 2)

## Properties
polymorph energy (0 for the lowest one)	559	meV per atom


Entry 11:
A plane-wave DFT calculation with PBE-GGA was carried out for an optimized crystal structure of CsTbAgSe3.

Cell: 4.1717 16.2075 10.9198 Å, 90.00 90.00 90.00°
Space group Cmcm (No. 63)
Symmetry-distinct sites (fractional):
Cs: 0.0000 0.2472 0.2500 (multiplicity 4)
Tb: 0.0000 0.5000 0.0000 (multiplicity 4)
Ag: 0.0000 0.0389 0.7500 (multiplicity 4)
Se: 0.0000 0.1211 0.5442 (multiplicity 8)
Se: 0.0000 0.4371 0.7500 (multiplicity 4)

## Properties
calculated total energy	-4.27	eV per atom


Entry 12:
A plane-wave DFT calculation with PBE-GGA was carried out for an optimized crystal structure of MgZrAlIr.

Cell: 6.5113 6.5113 6.5113 Å, 90.00 90.00 90.00°
Space group F-43m (No. 216)
Symmetry-distinct sites (fractional):
Mg: 0.0000 0.0000 0.0000 (multiplicity 4)
Zr: 0.0000 0.0000 0.5000 (multiplicity 4)
Al: 0.2500 0.2500 0.7500 (multiplicity 4)
Ir: 0.2500 0.2500 0.2500 (multiplicity 4)

## Properties
polymorph energy (0 for the lowest one)	94	meV per atom


Entry 13:
A plane-wave DFT calculation with PBE-GGA was carried out for an optimized crystal structure of NdTlZnS3.

Cell: 8.3349 4.2704 15.8524 Å, 90.00 90.00 90.00°
Space group Pnma (No. 62)
Symmetry-distinct sites (fractional):
Nd: 0.2492 0.2500 0.0482 (multiplicity 4)
Tl: 0.0678 0.7500 0.2910 (multiplicity 4)
Zn: 0.1436 0.7500 0.8616 (multiplicity 4)
S: 0.0071 0.2500 0.9079 (multiplicity 4)
S: 0.1325 0.2500 0.4529 (multiplicity 4)
S: 0.1972 0.7500 0.7183 (multiplicity 4)

## Properties
polymorph energy (0 for the lowest one)	88	meV per atom


Entry 14:
A plane-wave DFT calculation with PBE-GGA was carried out for an optimized crystal structure of Na2GeIrO6.

Cell: 5.1280 5.1280 10.3947 Å, 90.00 90.00 120.00°
Space group P-31c (No. 163)
Symmetry-distinct sites (fractional):
Na: 0.3333 0.6667 0.0377 (multiplicity 4)
Ge: 0.3333 0.6667 0.7500 (multiplicity 2)
Ir: 0.0000 0.0000 0.2500 (multiplicity 2)
O: 0.0518 0.3388 0.8545 (multiplicity 12)

## Properties
calculated total energy	-5.86	eV per atom


Entry 15:
A plane-wave DFT calculation with PBE-GGA was carried out for an optimized crystal structure of GaHgOs.

Cell: 6.2040 6.2040 6.2040 Å, 90.00 90.00 90.00°
Space group F-43m (No. 216)
Symmetry-distinct sites (fractional):
Ga: 0.0000 0.0000 0.0000 (multiplicity 4)
Hg: 0.0000 0.0000 0.5000 (multiplicity 4)
Os: 0.2500 0.2500 0.2500 (multiplicity 4)

## Properties
polymorph energy (0 for the lowest one)	0	meV per atom


Entry 16:
A plane-wave DFT calculation with PBE-GGA was carried out for an optimized crystal structure of Hf4SiGeN2.

Cell: 3.2168 3.2168 13.4211 Å, 90.00 90.00 120.00°
Space group P-6m2 (No. 187)
Symmetry-distinct sites (fractional):
Hf: 0.0000 0.0000 0.1532 (multiplicity 2)
Hf: 0.3333 0.6667 0.3418 (multiplicity 2)
Si: 0.3333 0.6667 0.0000 (multiplicity 1)
Ge: 0.0000 0.0000 0.5000 (multiplicity 1)
N: 0.6667 0.3333 0.2479 (multiplicity 2)

## Properties
calculated total energy	-9.44	eV per atom


Entry 17:
A plane-wave DFT calculation with PBE-GGA was carried out for an optimized crystal structure of Y2Er3Pd.

Cell: 3.6862 3.6862 14.3666 Å, 90.00 90.00 120.00°
Space group P-3m1 (No. 164)
Symmetry-distinct sites (fractional):
Y: 0.3333 0.6667 0.3159 (multiplicity 2)
Er: 0.0000 0.0000 0.5000 (multiplicity 1)
Er: 0.3333 0.6667 0.8754 (multiplicity 2)
Pd: 0.0000 0.0000 0.0000 (multiplicity 1)

## Properties
ΔE_f	-152	meV per atom


Entry 18:
A plane-wave DFT calculation with PBE-GGA was carried out for an optimized crystal structure of BaLiNiAs.

Cell: 7.2398 7.2398 7.2398 Å, 90.00 90.00 90.00°
Space group F-43m (No. 216)
Symmetry-distinct sites (fractional):
Ba: 0.0000 0.0000 0.0000 (multiplicity 4)
Li: 0.0000 0.0000 0.5000 (multiplicity 4)
Ni: 0.2500 0.2500 0.7500 (multiplicity 4)
As: 0.2500 0.2500 0.2500 (multiplicity 4)

## Properties
polymorph energy (0 for the lowest one)	212	meV per atom


Entry 19:
A plane-wave DFT calculation with PBE-GGA was carried out for an optimized crystal structure of Li4Ga2HgAu.

Cell: 4.4576 4.4576 6.3195 Å, 90.00 90.00 90.00°
Space group P-4m2 (No. 115)
Symmetry-distinct sites (fractional):
Li: 0.0000 0.0000 0.0000 (multiplicity 1)
Li: 0.0000 0.5000 0.7436 (multiplicity 2)
Li: 0.5000 0.5000 0.5000 (multiplicity 1)
Ga: 0.0000 0.5000 0.2682 (multiplicity 2)
Hg: 0.5000 0.5000 0.0000 (multiplicity 1)
Au: 0.0000 0.0000 0.5000 (multiplicity 1)

## Properties
calculated total energy	-2.58	eV per atom


Entry 20:
A plane-wave DFT calculation with PBE-GGA was carried out for an optimized crystal structure of BaSn12Au4.

Cell: 9.7420 9.7420 9.7420 Å, 90.00 90.00 90.00°
Space group Im-3 (No. 204)
Symmetry-distinct sites (fractional):
Ba: 0.0000 0.0000 0.0000 (multiplicity 2)
Sn: 0.0000 0.3508 0.1552 (multiplicity 24)
Au: 0.2500 0.2500 0.2500 (multiplicity 8)

## Properties
calculated total energy	-3.95	eV per atom


Entry 21:
A plane-wave DFT calculation with PBE-GGA was carried out for an optimized crystal structure of CsRbMo.

Cell: 9.2199 9.2199 9.2199 Å, 90.00 90.00 90.00°
Space group F-43m (No. 216)
Symmetry-distinct sites (fractional):
Cs: 0.0000 0.0000 0.0000 (multiplicity 4)
Rb: 0.2500 0.2500 0.2500 (multiplicity 4)
Mo: 0.2500 0.2500 0.7500 (multiplicity 4)

## Properties
calculated total energy	-2.46	eV per atom


Entry 22:
A plane-wave DFT calculation with PBE-GGA was carried out for an optimized crystal structure of Zr2Nb.

Cell: 11.4524 11.4524 11.4524 Å, 90.00 90.00 90.00°
Space group Fd-3m (No. 227, origin choice 2)
Symmetry-distinct sites (fractional):
Zr: 0.0000 0.0000 0.0000 (multiplicity 16)
Nb: 0.1250 0.1250 0.1250 (multiplicity 8)

## Properties
ΔE_f	2670	meV per atom


Entry 23:
A plane-wave DFT calculation with PBE-GGA was carried out for an optimized crystal structure of LuMgSi.

Cell: 6.4895 6.4895 6.4895 Å, 90.00 90.00 90.00°
Space group F-43m (No. 216)
Symmetry-distinct sites (fractional):
Lu: 0.0000 0.0000 0.0000 (multiplicity 4)
Mg: 0.0000 0.0000 0.5000 (multiplicity 4)
Si: 0.2500 0.2500 0.2500 (multiplicity 4)

## Properties
calculated total energy	-4.16	eV per atom


Entry 24:
A plane-wave DFT calculation with PBE-GGA was carried out for an optimized crystal structure of BeTlCdNi.

Cell: 6.3496 6.3496 6.3496 Å, 90.00 90.00 90.00°
Space group F-43m (No. 216)
Symmetry-distinct sites (fractional):
Be: 0.0000 0.0000 0.0000 (multiplicity 4)
Tl: 0.2500 0.2500 0.2500 (multiplicity 4)
Cd: 0.2500 0.2500 0.7500 (multiplicity 4)
Ni: 0.0000 0.0000 0.5000 (multiplicity 4)

## Properties
calculated total energy	-2.73	eV per atom


Entry 25:
A plane-wave DFT calculation with PBE-GGA was carried out for an optimized crystal structure of Zr2PN.

Cell: 3.4140 3.4140 12.0795 Å, 90.00 90.00 120.00°
Space group P6_3/mmc (No. 194)
Symmetry-distinct sites (fractional):
Zr: 0.3333 0.6667 0.1023 (multiplicity 4)
P: 0.3333 0.6667 0.7500 (multiplicity 2)
N: 0.0000 0.0000 0.0000 (multiplicity 2)

## Properties
calculated total energy	-9.18	eV per atom


| no. | calculated density (g cm⁻³) |
| --- | --- |
| 1 | 9.74 |
| 2 | 10.56 |
| 3 | 9.66 |
| 4 | 5.58 |
| 5 | 15.09 |
| 6 | 7.67 |
| 7 | 17.40 |
| 8 | 8.38 |
| 9 | 7.75 |
| 10 | 5.58 |
| 11 | 5.73 |
| 12 | 8.05 |
| 13 | 6.01 |
| 14 | 5.71 |
| 15 | 12.81 |
| 16 | 11.63 |
| 17 | 7.72 |
| 18 | 4.86 |
| 19 | 7.47 |
| 20 | 8.44 |
| 21 | 2.66 |
| 22 | 2.44 |
| 23 | 5.53 |
| 24 | 9.98 |
| 25 | 6.19 |